Computed, not measured: Sr4MnFe after structural relaxation at the PBE level of DFT.

Calculated values
For the volume, the calculation gives 41.32 Å³ per atom. The density of states at the Fermi level is 13.556 states/eV per cell. For the total energy, the calculation gives -2.867 eV/atom. The calculation puts the total magnetization at 1.22 μB/atom. As for the symmetry: F-43m, No. 216.

Unit cell a=7.051 b=7.051 c=7.051 alpha=60.00 beta=60.00 gamma=60.00
Fractional positions:
Sr 0.125 0.125 0.125
Sr 0.125 0.125 0.625
Sr 0.125 0.625 0.125
Sr 0.625 0.125 0.125
Mn 0.500 0.500 0.500
Fe 0.750 0.750 0.750

***

Computed, not measured: SrMnFe3 after structural relaxation at the PBE level of DFT.

Calculated values
For the volume, the calculation gives 17.81 Å³ per atom. The density of states at the Fermi level is 5.359 states/eV per cell. For the total energy, the calculation gives -6.412 eV/atom. The calculation puts the total magnetization at 1.32 μB/atom. As for the symmetry: Pm-3m, No. 221.

Unit cell a=4.465 b=4.465 c=4.465 alpha=90.00 beta=90.00 gamma=90.00
Fractional positions:
Sr 0.000 0.000 0.000
Mn 0.500 0.500 0.500
Fe 0.000 0.500 0.500
Fe 0.500 0.000 0.500
Fe 0.500 0.500 0.000

***

Computed, not measured: SrMnFe4 after structural relaxation at the PBE level of DFT.

Calculated values
For the volume, the calculation gives 15.69 Å³ per atom. The density of states at the Fermi level is 9.385 states/eV per cell. For the total energy, the calculation gives -6.957 eV/atom. The calculation puts the total magnetization at 2.29 μB/atom. As for the symmetry: F-43m, No. 216.

Unit cell a=5.106 b=5.106 c=5.106 alpha=60.00 beta=60.00 gamma=60.00
Fractional positions:
Sr 0.000 0.000 0.000
Mn 0.250 0.250 0.250
Fe 0.129 0.624 0.624
Fe 0.624 0.129 0.624
Fe 0.624 0.624 0.129
Fe 0.624 0.624 0.624

***

Computed, not measured: SrMnFeTc2 after structural relaxation at the PBE level of DFT.

Calculated values
For the volume, the calculation gives 20.08 Å³ per atom. The density of states at the Fermi level is 9.294 states/eV per cell. For the total energy, the calculation gives -6.312 eV/atom. The calculation puts the total magnetization at 0.16 μB/atom. As for the symmetry: P4/mmm, No. 123.

Unit cell a=4.442 b=4.442 c=5.090 alpha=90.00 beta=90.00 gamma=90.00
Fractional positions:
Sr 0.000 0.000 0.000
Mn 0.500 0.500 0.000
Fe 0.000 0.000 0.500
Tc 0.000 0.500 0.500
Tc 0.500 0.000 0.500

***

Computed, not measured: SrTi2MnFe after structural relaxation at the PBE level of DFT.

Calculated values
For the volume, the calculation gives 18.44 Å³ per atom. The density of states at the Fermi level is 11.354 states/eV per cell. For the total energy, the calculation gives -4.502 eV/atom. The calculation puts the total magnetization at 0.00 μB/atom. As for the symmetry: P4/mmm, No. 123.

Unit cell a=4.656 b=4.656 c=4.253 alpha=90.00 beta=90.00 gamma=90.00
Fractional positions:
Sr 0.000 0.000 0.000
Ti 0.000 0.500 0.000
Ti 0.500 0.000 0.000
Mn 0.000 0.000 0.500
Fe 0.500 0.500 0.500

***

Computed, not measured: Sr2ZrMnFe after structural relaxation at the PBE level of DFT.

Calculated values
For the volume, the calculation gives 31.51 Å³ per atom. The density of states at the Fermi level is 7.490 states/eV per cell. For the total energy, the calculation gives -4.810 eV/atom. The calculation puts the total magnetization at 0.58 μB/atom. As for the symmetry: P4/mmm, No. 123.

Unit cell a=5.735 b=5.735 c=4.790 alpha=90.00 beta=90.00 gamma=90.00
Fractional positions:
Sr 0.000 0.500 0.000
Sr 0.500 0.000 0.000
Zr 0.000 0.000 0.500
Mn 0.000 0.000 0.000
Fe 0.500 0.500 0.500

***

> density of states at the Fermi level of number 5 (SrTi2MnFe)?

11.354 states/eV per cell

***

> Which of these has the highest density of states at the Fermi level?

Sr4MnFe